# 1
Below is a relaxed structure of Mg2CrRh, with properties calculated at the PBE level.

For the energy above the most stable polymorph in this dataset, the calculation gives 169 meV per atom. The energy of formation comes out at 112.6 meV/atom.

The structure belongs to space group C2/m (No. 12); the cell edges are 5.5173, 8.9437 and 2.8875 Å and the angles 90.00°, 112.74° and 90.00°. The asymmetric unit holds Mg at (0.2500, 0.2500, 0.0000), Cr at (0.0000, 0.0000, 0.5000) and Rh at (0.0000, 0.5000, 0.5000).


# 2
Below is a relaxed structure of La7Ga2Rh2, with properties calculated at the PBE level.

The energy of formation comes out at -433.7 meV/atom.

The structure belongs to space group Cmmm (No. 65); the cell edges are 8.1519, 11.4968 and 7.1332 Å and the angles 90.00°, 90.00° and 90.00°. The asymmetric unit holds La at (0.0000, 0.0000, 0.0000), La at (0.0000, 0.5000, 0.2684), La at (0.2500, 0.2500, 0.2646), Ga at (0.1569, 0.0000, 0.5000) and Rh at (0.0000, 0.2971, 0.0000).


# 3
Below is a relaxed structure of CaGe2Pt8, with properties calculated at the PBE level.

The energy of formation comes out at -145.4 meV/atom.

The structure belongs to space group P4/mmm (No. 123); the cell edges are 5.3958, 5.3958 and 8.1005 Å and the angles 90.00°, 90.00° and 90.00°. The asymmetric unit holds Ca at (0.0000, 0.0000, 0.0000), Ge at (0.0000, 0.5000, 0.5000) and Pt at (0.2522, 0.2522, 0.2910).


# 4
Below is a relaxed structure of CeAl2Ag2, with properties calculated at the PBE level.

For the energy above the most stable polymorph in this dataset, the calculation gives 120 meV per atom. The energy of formation comes out at -152.1 meV/atom.

The structure belongs to space group C2/c (No. 15); the cell edges are 5.9236, 10.8021 and 7.4049 Å and the angles 90.00°, 113.55° and 90.00°. The asymmetric unit holds Ce at (0.0000, 0.1252, 0.2500), Al at (0.1004, 0.3750, 0.9512), Ag at (0.0000, 0.1655, 0.7500) and Ag at (0.0000, 0.4157, 0.2500).


# 5
Below is a relaxed structure of Pm4Nd3Dy, with properties calculated at the PBE level.

For the energy above the most stable polymorph in this dataset, the calculation gives 0 meV per atom. The energy of formation comes out at 31.1 meV/atom.

The structure belongs to space group Pmn2_1 (No. 31); the cell edges are 11.7914, 7.3778 and 6.3769 Å and the angles 90.00°, 90.00° and 90.00°. The asymmetric unit holds Pm at (0.0000, 0.1250, 0.0000), Pm at (0.0000, 0.8751, 0.4980), Pm at (0.2481, 0.1251, 0.6661), Nd at (0.0000, 0.6255, 0.9992), Nd at (0.2502, 0.3756, 0.1662) and Dy at (0.0000, 0.3745, 0.4998).


# 6
Below is a relaxed structure of PdAu, with properties calculated at the PBE level.

The energy of formation comes out at 449.8 meV/atom.

The structure belongs to space group P4_2/mnm (No. 136); the cell edges are 8.5270, 8.5270 and 2.7169 Å and the angles 90.00°, 90.00° and 90.00°. The asymmetric unit holds Pd at (0.1123, 0.1123, 0.0000) and Au at (0.1940, 0.8060, 0.0000).


# 7
Below is a relaxed structure of CdAsWBr2, with properties calculated at the PBE level.

The uncorrected formation energy is 1346 meV per atom. For the energy above the most stable polymorph in this dataset, the calculation gives 969 meV per atom.

The structure belongs to space group P4/mmm (No. 123); the cell edges are 5.2649, 5.2649 and 5.4494 Å and the angles 90.00°, 90.00° and 90.00°. The asymmetric unit holds Cd at (0.0000, 0.0000, 0.0000), As at (0.0000, 0.0000, 0.5000), W at (0.5000, 0.5000, 0.5000) and Br at (0.0000, 0.5000, 0.0000).


# 8
Below is a relaxed structure of ScB3I, with properties calculated at the PBE level.

The uncorrected formation energy is 2155 meV per atom. For the energy above the most stable polymorph in this dataset, the calculation gives 97 meV per atom.

The structure belongs to space group Pm-3m (No. 221); the cell edges are 4.3895, 4.3895 and 4.3895 Å and the angles 90.00°, 90.00° and 90.00°. The asymmetric unit holds Sc at (0.0000, 0.0000, 0.0000), B at (0.0000, 0.5000, 0.5000) and I at (0.5000, 0.5000, 0.5000).


# 9
Below is a relaxed structure of Be3NbF, with properties calculated at the PBE level.

The uncorrected formation energy is 1631 meV per atom. For the energy above the most stable polymorph in this dataset, the calculation gives 1668 meV per atom.

The structure belongs to space group Pm-3m (No. 221); the cell edges are 4.7030, 4.7030 and 4.7030 Å and the angles 90.00°, 90.00° and 90.00°. The asymmetric unit holds Be at (0.0000, 0.0000, 0.5000), Nb at (0.0000, 0.0000, 0.0000) and F at (0.5000, 0.5000, 0.5000).


# 10
Below is a relaxed structure of Be2NbCu2, with properties calculated at the PBE level.

For the energy above the most stable polymorph in this dataset, the calculation gives 28 meV per atom. The energy of formation comes out at 0.0 meV/atom.

The structure belongs to space group P4/mbm (No. 127); the cell edges are 6.8118, 6.8118 and 2.5305 Å and the angles 90.00°, 90.00° and 90.00°. The asymmetric unit holds Be at (0.1237, 0.3763, 0.0000), Nb at (0.0000, 0.0000, 0.0000) and Cu at (0.1671, 0.6671, 0.5000).


# 11
Below is a relaxed structure of Ga6NiPd3, with properties calculated at the PBE level.

The energy of formation comes out at -371.4 meV/atom.

The structure belongs to space group P2_1/c (No. 14); the cell edges are 6.8944, 6.0308 and 9.9569 Å and the angles 90.00°, 125.76° and 90.00°. The asymmetric unit holds Ga at (0.0664, 0.0313, 0.2594), Ga at (0.2297, 0.1686, 0.5797), Ga at (0.3785, 0.6150, 0.5510), Ni at (0.0000, 0.0000, 0.0000), Pd at (0.2850, 0.6782, 0.2452) and Pd at (0.5000, 0.0000, 0.5000).


# 12
Below is a relaxed structure of ReTe7, with properties calculated at the PBE level.

The uncorrected formation energy is 895 meV per atom.

The structure belongs to space group Fm-3m (No. 225); the cell edges are 9.4267, 9.4267 and 9.4267 Å and the angles 90.00°, 90.00° and 90.00°. The asymmetric unit holds Re at (0.0000, 0.0000, 0.0000), Te at (0.0000, 0.0000, 0.5000) and Te at (0.0000, 0.2500, 0.2500).


# 13
Below is a relaxed structure of Cd3AuSe, with properties calculated at the PBE level.

The uncorrected formation energy is 378 meV per atom. For the energy above the most stable polymorph in this dataset, the calculation gives 227 meV per atom.

The structure belongs to space group Pm-3m (No. 221); the cell edges are 5.3647, 5.3647 and 5.3647 Å and the angles 90.00°, 90.00° and 90.00°. The asymmetric unit holds Cd at (0.0000, 0.0000, 0.5000), Au at (0.5000, 0.5000, 0.5000) and Se at (0.0000, 0.0000, 0.0000).


# 14
Below is a relaxed structure of Ho4AsPS2, with properties calculated at the PBE level.

The uncorrected formation energy is -1817 meV per atom.

The structure belongs to space group P2/m (No. 10); the cell edges are 6.8560, 3.9762 and 6.8969 Å and the angles 90.00°, 109.63° and 90.00°. The asymmetric unit holds Ho at (0.2444, 0.0000, 0.2425), Ho at (0.2487, 0.5000, 0.7555), As at (0.0000, 0.0000, 0.5000), P at (0.0000, 0.5000, 0.0000), S at (0.5000, 0.0000, 0.0000) and S at (0.5000, 0.5000, 0.5000).


# 15
Below is a relaxed structure of FeCuAu3, with properties calculated at the PBE level.

For the energy above the most stable polymorph in this dataset, the calculation gives 33 meV per atom. The energy of formation comes out at 929.4 meV/atom.

The structure belongs to space group Pm-3m (No. 221); the cell edges are 4.8107, 4.8107 and 4.8107 Å and the angles 90.00°, 90.00° and 90.00°. The asymmetric unit holds Fe at (0.0000, 0.0000, 0.0000), Cu at (0.5000, 0.5000, 0.5000) and Au at (0.0000, 0.0000, 0.5000).


# 16
Below is a relaxed structure of Ho2TiCd, with properties calculated at the PBE level.

For the energy above the most stable polymorph in this dataset, the calculation gives 65 meV per atom. The energy of formation comes out at 19.7 meV/atom.

The structure belongs to space group P4/mmm (No. 123); the cell edges are 5.0525, 5.0525 and 3.9283 Å and the angles 90.00°, 90.00° and 90.00°. The asymmetric unit holds Ho at (0.0000, 0.5000, 0.0000), Ti at (0.0000, 0.0000, 0.5000) and Cd at (0.5000, 0.5000, 0.5000).


# 17
Below is a relaxed structure of NaCa2PuO4, with properties calculated at the PBE level.

The uncorrected formation energy is -2627 meV per atom.

The structure belongs to space group P2/m (No. 10); the cell edges are 5.8683, 3.4792 and 5.9095 Å and the angles 90.00°, 108.00° and 90.00°. The asymmetric unit holds Na at (0.0000, 0.0000, 0.0000), Ca at (0.0000, 0.5000, 0.5000), Ca at (0.5000, 0.0000, 0.5000), Pu at (0.5000, 0.5000, 0.0000), O at (0.2582, 0.0000, 0.7514) and O at (0.2730, 0.5000, 0.2570).


# 18
Below is a relaxed structure of TlAu, with properties calculated at the PBE level.

The energy of formation comes out at 29.8 meV/atom.

The structure belongs to space group Imma (No. 74); the cell edges are 3.3818, 5.3989 and 10.5479 Å and the angles 90.00°, 90.00° and 90.00°. The asymmetric unit holds Tl at (0.0000, 0.2500, 0.1042) and Au at (0.0000, 0.2500, 0.6422).


# 19
Below is a relaxed structure of Ac2La7In2, with properties calculated at the PBE level.

The energy of formation comes out at 88.3 meV/atom.

The structure belongs to space group Cmmm (No. 65); the cell edges are 7.1806, 12.4433 and 9.5281 Å and the angles 90.00°, 90.00° and 90.00°. The asymmetric unit holds Ac at (0.2400, 0.0000, 0.0000), La at (0.0000, 0.0000, 0.5000), La at (0.0000, 0.5000, 0.3220), La at (0.2500, 0.2500, 0.2080) and In at (0.0000, 0.2682, 0.5000).


# 20
Below is a relaxed structure of ScPRu2, with properties calculated at the PBE level.

The energy of formation comes out at -385.0 meV/atom.

The structure belongs to space group Pmm2 (No. 25); the cell edges are 2.9620, 3.9779 and 5.0137 Å and the angles 90.00°, 90.00° and 90.00°. The asymmetric unit holds Sc at (0.0000, 0.0000, 0.0000), P at (0.5000, 0.5000, 0.2768), Ru at (0.0000, 0.0000, 0.4854) and Ru at (0.5000, 0.5000, 0.7453).


# 21
Below is a relaxed structure of DyHoTm2Tl4, with properties calculated at the PBE level.

The energy of formation comes out at -312.3 meV/atom.

The structure belongs to space group R-3m (No. 166, hexagonal axes); the cell edges are 5.3332, 5.3332 and 26.2071 Å and the angles 90.00°, 90.00° and 120.00°. The asymmetric unit holds Dy at (0.0000, 0.0000, 0.0000), Ho at (0.0000, 0.0000, 0.5000), Tm at (0.0000, 0.0000, 0.2498), Tl at (0.0000, 0.0000, 0.1251) and Tl at (0.0000, 0.0000, 0.3752).


# 22
Below is a relaxed structure of HfTlH, with properties calculated at the PBE level.

For the energy above the most stable polymorph in this dataset, the calculation gives 308 meV per atom.

The structure belongs to space group Imma (No. 74); the cell edges are 4.3948, 8.5626 and 5.3758 Å and the angles 90.00°, 90.00° and 90.00°. The asymmetric unit holds Hf at (0.0000, 0.2500, 0.0385), Tl at (0.0000, 0.0000, 0.5000) and H at (0.2500, 0.2500, 0.7500).


# 23
Below is a relaxed structure of Ac2TlIn, with properties calculated at the PBE level.

For the energy above the most stable polymorph in this dataset, the calculation gives 0 meV per atom. The energy of formation comes out at -388.2 meV/atom.

The structure belongs to space group Fm-3m (No. 225); the cell edges are 8.2537, 8.2537 and 8.2537 Å and the angles 90.00°, 90.00° and 90.00°. The asymmetric unit holds Ac at (0.2500, 0.2500, 0.2500), Tl at (0.0000, 0.0000, 0.0000) and In at (0.0000, 0.0000, 0.5000).


# 24
Below is a relaxed structure of SnGeS, with properties calculated at the PBE level.

The uncorrected formation energy is -121 meV per atom. For the energy above the most stable polymorph in this dataset, the calculation gives 10 meV per atom.

The structure belongs to space group P1 (No. 1); the cell edges are 3.8736, 4.2823 and 8.9877 Å and the angles 83.61°, 77.78° and 89.88°. The asymmetric unit holds Sn at (0.0000, 0.0000, 0.0000), Sn at (0.3243, 0.3711, 0.3381), Ge at (0.1562, 0.1391, 0.6752), Ge at (0.8155, 0.8554, 0.3508), S at (0.4808, 0.4133, 0.0348) and S at (0.6779, 0.7959, 0.6334).


# 25
Below is a relaxed structure of BTe2HW, with properties calculated at the PBE level.

Its electronic total energy is -4.6230 eV per atom.

The structure belongs to space group P4/mmm (No. 123); the cell edges are 4.9698, 4.9698 and 3.1404 Å and the angles 90.00°, 90.00° and 90.00°. The asymmetric unit holds B at (0.0000, 0.0000, 0.0000), Te at (0.0000, 0.5000, 0.5000), H at (0.0000, 0.0000, 0.5000) and W at (0.5000, 0.5000, 0.0000).